The following is a PBE calculation of a geometry-optimized AgTeW structure, from Alexandria via LeMat-Bulk.

Unit cell a=4.8507 b=4.8507 c=2.8662 alpha=90.00 beta=90.00 gamma=120.00
Fractional coordinates of all 3 atoms:
Te 0.3333 0.6667 0.5001
Ag 0.0000 0.0000 0.0003
W 0.6667 0.3333 0.4996

Values from the calculation:
Raw formation energy (meV/atom): 837
Calculated total energy (Ry/atom): -0.4026
M_tot (μB per formula unit): 0.00
Polymorph energy (0 for the lowest one) (meV/atom): 224